VASP calculation (PBE-GGA) on crystalline SrErAgGe at its relaxed geometry.

Its final energy is -15.4 eV per formula unit. The formation energy comes out at -0.429 eV/atom. The value obtained for the total magnetization is 0.00 Bohr magnetons per cell.

The structure belongs to space group F-43m (No. 216); the cell edges are 7.4111, 7.4111 and 7.4111 Å and the angles 90.00°, 90.00° and 90.00°. The distinct sites, in fractional coordinates, are Sr at (0.0000, 0.0000, 0.0000), Er at (0.0000, 0.0000, 0.5000), Ag at (0.2500, 0.2500, 0.2500) and Ge at (0.2500, 0.2500, 0.7500).

VASP calculation (PBE-GGA) on crystalline Sc2BeSi at its relaxed geometry.

Its final energy is -22.2 eV per formula unit. The value obtained for the excess energy over the best structure of this formula in the dataset is 407.1 meV per atom. The formation energy (no corrections) is -0.38 eV per formula unit. The value obtained for the total magnetization is 0.00 Bohr magnetons per cell.

The structure belongs to space group Cmm2 (No. 35); the cell edges are 4.0672, 4.6799 and 7.3511 Å and the angles 90.00°, 90.00° and 90.00°. The distinct sites, in fractional coordinates, are Sc at (0.0000, 0.0000, 0.0000), Sc at (0.0000, 0.5000, 0.3506), Be at (0.0000, 0.5000, 0.7516) and Si at (0.0000, 0.0000, 0.6106).

VASP calculation (PBE-GGA) on crystalline PmDy2SeO8 at its relaxed geometry.

Its final energy is -84.4 eV per formula unit. The formation energy (no corrections) is -27.26 eV per formula unit. The value obtained for the total magnetization is 0.85 Bohr magnetons per cell.

The structure belongs to space group P2/m (No. 10); the cell edges are 4.9704, 6.8521 and 4.9718 Å and the angles 90.00°, 90.50° and 90.00°. The distinct sites, in fractional coordinates, are Pm at (0.0000, 0.0000, 0.0000), Dy at (0.5000, 0.2577, 0.5000), Se at (0.0000, 0.5000, 0.0000), O at (0.1787, 0.3057, 0.1796), O at (0.2595, 0.5000, 0.7416) and O at (0.3179, 0.0000, 0.6838).

VASP calculation (PBE-GGA) on crystalline DyHoNi4 at its relaxed geometry.

Its final energy is -35.0 eV per formula unit. The formation energy comes out at -0.457 eV/atom. The value obtained for the total magnetization is 0.00 Bohr magnetons per cell.

The structure belongs to space group F-43m (No. 216); the cell edges are 7.1516, 7.1516 and 7.1516 Å and the angles 90.00°, 90.00° and 90.00°. The distinct sites, in fractional coordinates, are Dy at (0.0000, 0.0000, 0.0000), Ho at (0.2500, 0.2500, 0.7500) and Ni at (0.1249, 0.1249, 0.3751).

VASP calculation (PBE-GGA) on crystalline SiNiH2 at its relaxed geometry.

Its final energy is -16.4 eV per formula unit. The value obtained for the excess energy over the best structure of this formula in the dataset is 0.0 meV per atom. The value obtained for the total magnetization is 0.00 Bohr magnetons per cell.

The structure belongs to space group I-42d (No. 122); the cell edges are 4.2887, 4.2887 and 7.6198 Å and the angles 90.00°, 90.00° and 90.00°. The distinct sites, in fractional coordinates, are Si at (0.0000, 0.0000, 0.0000), Ni at (0.0000, 0.0000, 0.5000) and H at (0.1634, 0.2500, 0.6250).

VASP calculation (PBE-GGA) on crystalline Tc2PAu at its relaxed geometry.

Its final energy is -29.3 eV per formula unit. The formation energy comes out at 0.038 eV/atom. The value obtained for the total magnetization is 0.00 Bohr magnetons per cell.

The structure belongs to space group P2/m (No. 10); the cell edges are 3.0000, 3.7040 and 5.5652 Å and the angles 90.00°, 103.44° and 90.00°. The distinct sites, in fractional coordinates, are Tc at (0.1376, 0.0000, 0.2850), P at (0.5000, 0.5000, 0.5000) and Au at (0.5000, 0.5000, 0.0000).

VASP calculation (PBE-GGA) on crystalline Y2TmIn3Hg6 at its relaxed geometry.

Its final energy is -28.1 eV per formula unit. The formation energy comes out at -0.056 eV/atom. The value obtained for the total magnetization is 0.00 Bohr magnetons per cell.

The structure belongs to space group P4/mmm (No. 123); the cell edges are 4.2210, 4.2210 and 20.2591 Å and the angles 90.00°, 90.00° and 90.00°. The distinct sites, in fractional coordinates, are Y at (0.0000, 0.0000, 0.2171), Tm at (0.0000, 0.0000, 0.5000), In at (0.5000, 0.5000, 0.0000), In at (0.5000, 0.5000, 0.2793), Hg at (0.0000, 0.5000, 0.3893) and Hg at (0.5000, 0.5000, 0.1371).

VASP calculation (PBE-GGA) on crystalline Sr12Cu5Ag3 at its relaxed geometry.

Its final energy is -47.5 eV per formula unit. The formation energy comes out at 0.087 eV/atom. The value obtained for the total magnetization is 0.00 Bohr magnetons per cell.

The structure belongs to space group Ia-3d (No. 230); the cell edges are 18.5724, 18.5724 and 18.5724 Å and the angles 90.00°, 90.00° and 90.00°. The distinct sites, in fractional coordinates, are Sr at (0.0263, 0.0653, 0.6498), Cu at (0.0000, 0.0000, 0.0000), Cu at (0.0000, 0.2500, 0.3750) and Ag at (0.0000, 0.2500, 0.1250).

Question: Among the records above, which one has the highest final energy?
Answer: SrErAgGe